This record from Alexandria describes a relaxed structure of Tc2SbSe2. The functional is PBE.

- spin magnetization (μB/f.u.) = 0.00
- space group = P4/mbm, No. 127
- ΔE to the lowest computed polymorph (meV/atom) = 0
- density of states at the Fermi level (states/eV/atom) = 1.0522
- E (eV for the cell shown) = -61.1
- ρ (g cm⁻³) = 8.8
- raw formation energy (eV per atom) = 0.26

The structure in POSCAR format:
```
Tc2SbSe2
1.0
-7.406 -1.518 0.591
1.272 -3.672 6.511
-0.421 2.672 1.589
Sb Se Tc
2 4 4
direct
0.500 0.500 0.000
0.000 0.000 0.000
0.860 0.360 0.500
0.140 0.640 0.500
0.360 0.140 0.500
0.640 0.860 0.500
0.865 0.635 0.000
0.365 0.865 0.000
0.135 0.365 0.000
0.635 0.135 0.000
```

=====

This record from Alexandria describes a relaxed structure of Ag2OF. The functional is PBE.

- spin magnetization (μB/f.u.) = 1.04
- space group = R-3m, No. 166
- ΔE to the lowest computed polymorph (meV/atom) = 162
- density of states at the Fermi level (states/eV/atom) = 0.5576
- E (eV for the cell shown) = -13.7
- ρ (g cm⁻³) = 6.5
- raw formation energy (eV per atom) = -0.29

The structure in POSCAR format:
```
Ag2OF
1.0
-1.175 2.672 -1.302
-2.665 1.314 1.179
2.668 5.272 4.491
Ag O F
2 1 1
direct
0.901 0.901 0.296
0.099 0.099 0.704
0.500 0.500 0.500
0.000 0.000 0.000
```

=====

This record from Alexandria describes a relaxed structure of Nd4TlSb2. The functional is PBE.

- spin magnetization (μB/f.u.) = 0.00
- space group = P2_1/m, No. 11
- density of states at the Fermi level (states/eV/atom) = 0.9130
- E (eV for the cell shown) = -67.8
- ρ (g cm⁻³) = 7.8
- raw formation energy (eV per atom) = -0.60

The structure in POSCAR format:
```
Nd4TlSb2
1.0
6.198 0.000 -0.075
0.000 6.846 0.000
-2.334 0.000 10.337
Sb Nd Tl
4 8 2
direct
0.704 0.750 0.549
0.296 0.250 0.451
0.402 0.250 0.003
0.598 0.750 0.997
0.962 0.250 0.145
0.846 0.250 0.534
0.530 0.516 0.254
0.154 0.750 0.466
0.470 0.484 0.746
0.530 0.984 0.254
0.038 0.750 0.855
0.470 0.016 0.746
0.957 0.250 0.826
0.043 0.750 0.174
```

=====

This record from Alexandria describes a relaxed structure of LaTmInAg. The functional is PBE.

- spin magnetization (μB/f.u.) = 0.00
- space group = F-43m, No. 216
- ΔE to the lowest computed polymorph (meV/atom) = 33
- density of states at the Fermi level (states/eV/atom) = 0.8447
- E (eV for the cell shown) = -16.5
- ρ (g cm⁻³) = 8.1
- energy relative to the elements (eV per atom) = -0.368

The structure in POSCAR format:
```
LaTmInAg
1.0
-0.285 -3.601 -3.971
2.715 -4.617 0.364
-2.640 -4.615 0.746
Ag In Tm La
1 1 1 1
direct
0.250 0.250 0.250
0.750 0.750 0.750
0.000 0.000 0.000
0.500 0.500 0.500
```

=====

This record from Alexandria describes a relaxed structure of Sm2Dy5Pd4. The functional is PBE.

- spin magnetization (μB/f.u.) = 0.00
- space group = C2/m, No. 12
- density of states at the Fermi level (states/eV/atom) = 0.9853
- E (eV for the cell shown) = -57.6
- ρ (g cm⁻³) = 8.4
- energy relative to the elements (eV per atom) = -0.401

The structure in POSCAR format:
```
Sm2Dy5Pd4
1.0
3.616 0.000 0.000
0.000 6.767 0.712
-1.808 -0.658 12.366
Dy Sm Pd
5 2 4
direct
0.764 0.751 0.528
0.500 0.000 0.000
0.134 0.817 0.267
0.866 0.183 0.733
0.236 0.249 0.472
0.908 0.674 0.815
0.092 0.326 0.185
0.026 0.687 0.052
0.672 0.507 0.345
0.974 0.313 0.948
0.328 0.493 0.655
```

=====

This record from Alexandria describes a relaxed structure of Ba6SnTe2I3. The functional is PBE.

- spin magnetization (μB/f.u.) = 0.00
- space group = C2/m, No. 12
- density of states at the Fermi level (states/eV/atom) = 0.3340
- E (eV for the cell shown) = -43.8
- ρ (g cm⁻³) = 4.8
- raw formation energy (eV per atom) = -1.45

The structure in POSCAR format:
```
Ba6SnTe2I3
1.0
-6.246 5.992 1.407
1.546 -6.209 5.996
7.115 4.998 1.209
Ba Te I Sn
6 2 3 1
direct
0.074 0.399 0.223
0.926 0.601 0.777
0.249 0.249 0.775
0.399 0.074 0.223
0.601 0.926 0.777
0.751 0.751 0.225
0.334 0.666 0.000
0.666 0.334 0.000
0.170 0.830 0.500
0.830 0.170 0.500
0.500 0.500 0.500
0.000 0.000 0.000
```

=====

This record from Alexandria describes a relaxed structure of RbAl2Ge. The functional is PBE.

- spin magnetization (μB/f.u.) = 0.00
- space group = R-3m, No. 166
- density of states at the Fermi level (states/eV/atom) = 0.5665
- E (eV for the cell shown) = -12.4
- ρ (g cm⁻³) = 3.0
- energy relative to the elements (eV per atom) = 0.163

The structure in POSCAR format:
```
RbAl2Ge
1.0
4.243 0.000 0.000
2.122 3.675 0.000
2.122 1.225 7.619
Ge Al Rb
1 2 1
direct
0.000 0.000 0.000
0.287 0.287 0.138
0.713 0.713 0.862
0.500 0.500 0.500
```

=====

This record from Alexandria describes a relaxed structure of Zr3BeHg. The functional is PBE.

- spin magnetization (μB/f.u.) = 0.00
- space group = Pm-3m, No. 221
- ΔE to the lowest computed polymorph (meV/atom) = 0
- density of states at the Fermi level (states/eV/atom) = 0.6004
- E (eV for the cell shown) = -29.0
- ρ (g cm⁻³) = 7.6
- energy relative to the elements (eV per atom) = 0.140

The structure in POSCAR format:
```
Zr3BeHg
1.0
4.729 0.000 0.000
0.000 4.729 0.000
0.000 0.000 4.729
Zr Hg Be
3 1 1
direct
0.500 0.000 0.000
0.000 0.500 0.000
0.000 0.000 0.500
0.500 0.500 0.500
0.000 0.000 0.000
```